Entry 1:
The following is a DFT calculation (PBE) of a geometry-optimized ReAu2Br structure.

Computed properties:
- ΔE_f (raw): 110.3 kJ/mol of atoms
- Space group: F-43m (216)
- ΔE to the lowest computed polymorph: 0.637 eV per atom

```
ReAu2Br
1.0
4.673 0.000 0.000
2.336 4.047 0.000
2.336 1.349 3.815
Br Re Au
1 1 2
direct
0.500 0.500 0.500 Br
0.750 0.750 0.750 Re
0.250 0.250 0.250 Au
0.000 0.000 0.000 Au
```

Entry 2:
The following is a DFT calculation (PBE) of a geometry-optimized TePdSe2Br structure.

Computed properties:
- ΔE_f (raw): 27.0 kJ/mol of atoms
- Space group: P4/mmm (123)
- ΔE to the lowest computed polymorph: 0.000 eV per atom

```
TePdSe2Br
1.0
5.007 0.000 0.000
0.000 5.007 0.000
0.000 0.000 4.985
Br Se Te Pd
1 2 1 1
direct
0.000 0.000 0.500 Br
0.000 0.500 0.000 Se
0.500 0.000 0.000 Se
0.500 0.500 0.500 Te
0.000 0.000 0.000 Pd
```

Entry 3:
The following is a DFT calculation (PBE) of a geometry-optimized VCoSN2 structure.

Computed properties:
- ΔE_f (raw): 53.2 kJ/mol of atoms
- Space group: P4/mmm (123)
- ΔE to the lowest computed polymorph: 0.000 eV per atom

```
VCoSN2
1.0
3.671 0.000 0.000
0.000 3.671 0.000
0.000 0.000 5.088
N Co V S
2 1 1 1
direct
0.000 0.500 0.000 N
0.500 0.000 0.000 N
0.500 0.500 0.500 Co
0.000 0.000 0.000 V
0.000 0.000 0.500 S
```